1.
The following is a DFT calculation (PBE) of crystalline CaAcY2Bi4 at its relaxed geometry.

Structure (CIF):
```
data_CaAcY2Bi4
_chemical_formula_sum 'Ca1 Ac1 Y2 Bi4'
_cell_length_a 7.9320
_cell_length_b 4.6088
_cell_length_c 8.1246
_cell_angle_alpha 90.00
_cell_angle_beta 109.14
_cell_angle_gamma 90.00
_symmetry_space_group_name_H-M 'P 1 2/m 1'
_symmetry_Int_Tables_number 10
loop_
_symmetry_equiv_pos_as_xyz
'x,y,z'
'-x,-y,-z'
'-x,y,-z'
'x,-y,z'
loop_
_atom_site_label
_atom_site_type_symbol
_atom_site_fract_x
_atom_site_fract_y
_atom_site_fract_z
_atom_site_occupancy
Ca1 Ca 0.0000 0.0000 0.0000 1
Ac1 Ac 0.5000 0.5000 0.0000 1
Y1 Y 0.0000 0.5000 0.5000 1
Y2 Y 0.5000 0.0000 0.5000 1
Bi1 Bi 0.2375 0.0000 0.7302 1
Bi2 Bi 0.2498 0.5000 0.2658 1
```

***

2.
# PBE MgSbPO2, optimized geometry
# E_form (uncorrected) = -0.665 eV per atom
data_MgSbPO2
_chemical_formula_sum 'Mg1 Sb1 P1 O2'
_cell_length_a 3.9471
_cell_length_b 3.9471
_cell_length_c 5.2957
_cell_angle_alpha 90.00
_cell_angle_beta 90.00
_cell_angle_gamma 90.00
_symmetry_space_group_name_H-M 'P 4/m m m'
_symmetry_Int_Tables_number 123
_symmetry_space_group_name_Hall '-P 4 2'
loop_
_atom_site_label
_atom_site_type_symbol
_atom_site_fract_x
_atom_site_fract_y
_atom_site_fract_z
_atom_site_occupancy
Mg1 Mg 0.0000 0.0000 0.0000 1
Sb1 Sb 0.5000 0.5000 0.5000 1
P1 P 0.5000 0.5000 0.0000 1
O1 O 0.0000 0.5000 0.5000 1

***

3.
The following is a DFT calculation (PBE) of crystalline Nd2ZnP at its relaxed geometry.

Structure (CIF):
```
data_Nd2ZnP
_chemical_formula_sum 'Nd6 Zn3 P3'
_cell_length_a 3.9890
_cell_length_b 3.9890
_cell_length_c 28.7006
_cell_angle_alpha 90.00
_cell_angle_beta 90.00
_cell_angle_gamma 120.00
_symmetry_space_group_name_H-M 'R -3 m'
_symmetry_Int_Tables_number 166
_symmetry_space_group_name_Hall '-R 3 2"'
loop_
_atom_site_label
_atom_site_type_symbol
_atom_site_fract_x
_atom_site_fract_y
_atom_site_fract_z
_atom_site_occupancy
Nd1 Nd 0.0000 0.0000 0.1106 1
Zn1 Zn 0.0000 0.0000 0.0000 1
P1 P 0.0000 0.0000 0.5000 1
```

***

4.
The following is a DFT calculation (PBE) of crystalline EuZnCdRh at its relaxed geometry.

Structure (CIF):
```
data_EuZnCdRh
_chemical_formula_sum 'Eu4 Zn4 Cd4 Rh4'
_cell_length_a 6.8880
_cell_length_b 6.8880
_cell_length_c 6.8880
_cell_angle_alpha 90.00
_cell_angle_beta 90.00
_cell_angle_gamma 90.00
_symmetry_space_group_name_H-M 'F -4 3 m'
_symmetry_Int_Tables_number 216
_symmetry_space_group_name_Hall 'F -4 2 3'
loop_
_atom_site_label
_atom_site_type_symbol
_atom_site_fract_x
_atom_site_fract_y
_atom_site_fract_z
_atom_site_occupancy
Eu1 Eu 0.0000 0.0000 0.0000 1
Zn1 Zn 0.2500 0.2500 0.7500 1
Cd1 Cd 0.0000 0.0000 0.5000 1
Rh1 Rh 0.2500 0.2500 0.2500 1
```

***

5.
# PBE Mn2TeCl, optimized geometry
# E_form (uncorrected) = 0.104 eV per atom
data_Mn2TeCl
_chemical_formula_sum 'Mn4 Te2 Cl2'
_cell_length_a 7.4128
_cell_length_b 7.5328
_cell_length_c 4.0228
_cell_angle_alpha 90.00
_cell_angle_beta 120.23
_cell_angle_gamma 90.00
_symmetry_space_group_name_H-M 'C 1 2/m 1'
_symmetry_Int_Tables_number 12
loop_
_symmetry_equiv_pos_as_xyz
'x,y,z'
'-x,-y,-z'
'-x,y,-z'
'x,-y,z'
'x+1/2,y+1/2,z'
'-x+1/2,-y+1/2,-z'
'-x+1/2,y+1/2,-z'
'x+1/2,-y+1/2,z'
loop_
_atom_site_label
_atom_site_type_symbol
_atom_site_fract_x
_atom_site_fract_y
_atom_site_fract_z
_atom_site_occupancy
Mn1 Mn 0.2500 0.2500 0.0000 1
Te1 Te 0.0000 0.0000 0.5000 1
Cl1 Cl 0.0000 0.5000 0.5000 1

***

6.
# PBE HgPb2N, optimized geometry
# E_form (uncorrected) = 0.474 eV per atom
data_HgPb2N
_chemical_formula_sum 'Hg4 Pb8 N4'
_cell_length_a 7.2290
_cell_length_b 7.2290
_cell_length_c 7.8904
_cell_angle_alpha 90.00
_cell_angle_beta 90.00
_cell_angle_gamma 90.00
_symmetry_space_group_name_H-M 'I -4 2 d'
_symmetry_Int_Tables_number 122
_symmetry_space_group_name_Hall 'I -4 2bw'
loop_
_atom_site_label
_atom_site_type_symbol
_atom_site_fract_x
_atom_site_fract_y
_atom_site_fract_z
_atom_site_occupancy
Hg1 Hg 0.0000 0.0000 0.0000 1
Pb1 Pb 0.1664 0.2500 0.6250 1
N1 N 0.0000 0.0000 0.5000 1

***

7.
The following is a DFT calculation (PBE) of crystalline NiHg2AsIr at its relaxed geometry.

Structure (CIF):
```
data_NiHg2AsIr
_chemical_formula_sum 'Ni1 Hg2 As1 Ir1'
_cell_length_a 5.2835
_cell_length_b 5.2835
_cell_length_c 4.5493
_cell_angle_alpha 90.00
_cell_angle_beta 90.00
_cell_angle_gamma 90.00
_symmetry_space_group_name_H-M 'P 4/m m m'
_symmetry_Int_Tables_number 123
_symmetry_space_group_name_Hall '-P 4 2'
loop_
_atom_site_label
_atom_site_type_symbol
_atom_site_fract_x
_atom_site_fract_y
_atom_site_fract_z
_atom_site_occupancy
Ni1 Ni 0.0000 0.0000 0.0000 1
Hg1 Hg 0.0000 0.5000 0.5000 1
As1 As 0.5000 0.5000 0.0000 1
Ir1 Ir 0.5000 0.5000 0.5000 1
```

***

8.
The following is a DFT calculation (PBE) of crystalline CuGe3W at its relaxed geometry.

Structure (CIF):
```
data_CuGe3W
_chemical_formula_sum 'Cu1 Ge3 W1'
_cell_length_a 4.8965
_cell_length_b 4.8965
_cell_length_c 4.8965
_cell_angle_alpha 90.00
_cell_angle_beta 90.00
_cell_angle_gamma 90.00
_symmetry_space_group_name_H-M 'P m -3 m'
_symmetry_Int_Tables_number 221
_symmetry_space_group_name_Hall '-P 4 2 3'
loop_
_atom_site_label
_atom_site_type_symbol
_atom_site_fract_x
_atom_site_fract_y
_atom_site_fract_z
_atom_site_occupancy
Cu1 Cu 0.0000 0.0000 0.0000 1
Ge1 Ge 0.0000 0.5000 0.5000 1
W1 W 0.5000 0.5000 0.5000 1
```

***

Calculated total energy, respectively: -41.334 -24.368 -54.123 -82.133 -45.822 -56.585 -16.054 -27.234 eV for the cell shown.
Calculated volume, respectively: 35.07 16.50 32.96 20.42 24.26 25.77 25.40 23.48 Å³/atom.